# CoSbRh2 (PBE, optimized geometry)
data_CoSbRh2
_chemical_formula_sum 'Co2 Sb2 Rh4'
_symmetry_space_group_name_H-M 'I -4 m 2'
_symmetry_Int_Tables_number 119
_symmetry_space_group_name_Hall 'I -4 -2'
_cell_length_a 3.963
_cell_length_b 3.963
_cell_length_c 7.538
_cell_angle_alpha 90.00
_cell_angle_beta 90.00
_cell_angle_gamma 90.00
loop_
_atom_site_label
_atom_site_type_symbol
_atom_site_fract_x
_atom_site_fract_y
_atom_site_fract_z
_atom_site_occupancy
Co1 Co 0.000 0.000 0.000 1
Sb1 Sb 0.000 0.500 0.750 1
Rh1 Rh 0.000 0.000 0.500 1
Rh2 Rh 0.000 0.500 0.250 1
# Final energy: -6.57 eV per atom
# Density of states at the Fermi level: 6.13 states/eV per cell